# 1
Entry from Alexandria: a relaxed structure of Dy3Si3Ir (PBE-GGA).

Cell lengths 4.235, 5.651, 12.994 Å; angles 84.48, 80.62, 67.99 degrees
Fractional positions:
1 Dy 0.474 0.676 0.376
2 Dy 0.254 0.261 0.230
3 Si 0.958 0.852 0.232
4 Si 0.136 0.266 0.462
5 Dy 0.746 0.739 0.770
6 Dy 0.526 0.324 0.624
7 Si 0.110 0.854 0.926
8 Dy 0.396 0.285 0.922
9 Si 0.864 0.734 0.538
10 Ir 0.750 0.104 0.396
11 Si 0.042 0.148 0.768
12 Ir 0.250 0.896 0.604
13 Si 0.890 0.146 0.074
14 Dy 0.604 0.715 0.078

Calculated values
DOS(E_F) (states/eV/cell): 9.3
Calculated total energy (eV/atom): -6.4841
Energy relative to the elements, uncorrected (eV/atom): -0.922



# 2
Entry from Alexandria: a relaxed structure of DySi4Ir6 (PBE-GGA).

Cell lengths 3.831, 7.040, 7.040 Å; angles 120.00, 90.00, 90.00 degrees
Fractional positions:
1 Ir 0.000 0.933 0.467
2 Si 0.500 0.393 0.196
3 Ir 0.500 0.605 0.802
4 Si 0.000 0.333 0.667
5 Ir 0.000 0.533 0.467
6 Si 0.500 0.804 0.196
7 Dy 0.000 0.000 0.000
8 Ir 0.000 0.533 0.067
9 Ir 0.500 0.198 0.802
10 Ir 0.500 0.198 0.395
11 Si 0.500 0.804 0.607

Calculated values
DOS(E_F) (states/eV/cell): 2.7
Calculated total energy (eV/atom): -8.0808
Energy relative to the elements, uncorrected (eV/atom): -0.857



# 3
Entry from Alexandria: a relaxed structure of Dy3Si2Ir2 (PBE-GGA).

Cell lengths 5.650, 7.769, 13.093 Å; angles 90.00, 90.00, 90.00 degrees
Fractional positions:
1 Dy 0.621 0.749 0.750
2 Si 0.860 0.399 0.250
3 Si 0.860 0.101 0.750
4 Dy 0.864 0.391 0.604
5 Dy 0.864 0.109 0.396
6 Ir 0.648 0.025 0.910
7 Dy 0.379 0.249 0.750
8 Si 0.594 0.750 0.500
9 Dy 0.621 0.751 0.250
10 Dy 0.864 0.109 0.104
11 Ir 0.648 0.475 0.410
12 Ir 0.352 0.975 0.090
13 Ir 0.352 0.525 0.910
14 Ir 0.352 0.975 0.410
15 Si 0.140 0.899 0.250
16 Si 0.406 0.250 0.500
17 Dy 0.379 0.251 0.250
18 Ir 0.648 0.475 0.090
19 Si 0.406 0.250 0.000
20 Dy 0.136 0.891 0.604
21 Si 0.594 0.750 0.000
22 Ir 0.648 0.025 0.590
23 Dy 0.136 0.891 0.896
24 Dy 0.136 0.609 0.104
25 Dy 0.864 0.391 0.896
26 Dy 0.136 0.609 0.396
27 Ir 0.352 0.525 0.590
28 Si 0.140 0.601 0.750

Calculated values
DOS(E_F) (states/eV/cell): 18.1
Calculated total energy (eV/atom): -7.0222
Energy relative to the elements, uncorrected (eV/atom): -0.969



# 4
Entry from Alexandria: a relaxed structure of Dy2Si3Ir2 (PBE-GGA).

Cell lengths 4.093, 6.962, 8.937 Å; angles 90.00, 103.24, 90.00 degrees
Fractional positions:
1 Dy 0.058 0.750 0.115
2 Ir 0.691 0.550 0.382
3 Si 0.439 0.571 0.877
4 Si 0.439 0.929 0.877
5 Dy 0.942 0.250 0.885
6 Ir 0.691 0.950 0.382
7 Dy 0.846 0.750 0.691
8 Si 0.561 0.429 0.123
9 Si 0.773 0.250 0.547
10 Ir 0.309 0.050 0.618
11 Si 0.227 0.750 0.453
12 Ir 0.309 0.450 0.618
13 Si 0.561 0.071 0.123
14 Dy 0.154 0.250 0.309

Calculated values
DOS(E_F) (states/eV/cell): 6.9
Calculated total energy (eV/atom): -7.0844
Energy relative to the elements, uncorrected (eV/atom): -0.914



# 5
Entry from Alexandria: a relaxed structure of Sm2Dy2Si4Ir (PBE-GGA).

Cell lengths 6.479, 6.479, 6.479 Å; angles 97.31, 115.87, 115.87 degrees
Fractional positions:
1 Si 0.000 0.247 0.753
2 Si 0.506 0.753 0.753
3 Sm 0.500 0.750 0.250
4 Dy 0.000 0.687 0.687
5 Dy 0.000 0.313 0.313
6 Ir 0.000 0.000 0.000
7 Si 0.000 0.753 0.247
8 Sm 0.500 0.250 0.750
9 Si 0.494 0.247 0.247

Calculated values
DOS(E_F) (states/eV/cell): 8.4
Calculated total energy (eV/atom): -5.8742
Energy relative to the elements, uncorrected (eV/atom): -0.408



# 6
Entry from Alexandria: a relaxed structure of Dy2TaSi3Ir4 (PBE-GGA).

Cell lengths 4.099, 4.099, 10.454 Å; angles 90.00, 90.00, 90.00 degrees
Fractional positions:
1 Si 0.500 0.000 0.874
2 Ir 0.500 0.000 0.645
3 Dy 0.000 0.500 0.764
4 Ir 0.500 0.500 0.000
5 Ir 0.000 0.000 0.000
6 Ta 0.500 0.500 0.500
7 Dy 0.500 0.000 0.236
8 Ir 0.000 0.500 0.355
9 Si 0.000 0.000 0.500
10 Si 0.000 0.500 0.126

Calculated values
DOS(E_F) (states/eV/cell): 5.1
Calculated total energy (eV/atom): -8.2493
Energy relative to the elements, uncorrected (eV/atom): -0.972



# 7
Entry from Alexandria: a relaxed structure of Tb2Dy2SiIr4 (PBE-GGA).

Cell lengths 6.375, 6.375, 6.375 Å; angles 90.78, 119.55, 119.55 degrees
Fractional positions:
1 Tb 0.000 0.691 0.691
2 Ir 0.491 0.746 0.746
3 Dy 0.500 0.750 0.250
4 Ir 0.000 0.254 0.746
5 Si 0.000 0.000 0.000
6 Ir 0.509 0.254 0.254
7 Dy 0.500 0.250 0.750
8 Ir 0.000 0.746 0.254
9 Tb 0.000 0.309 0.309

Calculated values
DOS(E_F) (states/eV/cell): 4.4
Calculated total energy (eV/atom): -7.1234
Energy relative to the elements, uncorrected (eV/atom): -0.531



# 8
Entry from Alexandria: a relaxed structure of DySi3TcIr (PBE-GGA).

Cell lengths 5.859, 6.242, 7.027 Å; angles 116.37, 90.00, 90.00 degrees
Fractional positions:
1 Si 0.750 0.793 0.586
2 Dy 0.250 0.788 0.576
3 Ir 0.250 0.385 0.770
4 Tc 0.250 0.030 0.060
5 Si 0.500 0.700 0.000
6 Dy 0.750 0.212 0.424
7 Si 0.250 0.207 0.414
8 Si 0.000 0.300 0.000
9 Tc 0.750 0.970 0.940
10 Si 0.000 0.700 0.000
11 Si 0.500 0.300 0.000
12 Ir 0.750 0.615 0.230

Calculated values
DOS(E_F) (states/eV/cell): 6.5
Calculated total energy (eV/atom): -7.0902
Energy relative to the elements, uncorrected (eV/atom): -0.407